No. 1
## LiTl2Sb2 (PBE-GGA)

Data for crystalline LiTl2Sb2 at its relaxed geometry.

a b c (Å): 7.4206 7.4206 5.3466
angles (deg): 90.00 90.00 90.00
Element x y z (fractional)
Li 0.0000 0.0000 0.0000
Li 0.5000 0.5000 0.0000
Tl 0.1732 0.3268 0.5000
Tl 0.3268 0.8268 0.5000
Tl 0.6732 0.1732 0.5000
Tl 0.8268 0.6732 0.5000
Sb 0.1370 0.6370 0.0000
Sb 0.3630 0.1370 0.0000
Sb 0.6370 0.8630 0.0000
Sb 0.8630 0.3630 0.0000

## Properties
Space-group type   No. 127
Total energy   -3.083 eV per atom

=====

No. 2
## Li3Tl2Sb4 (PBE-GGA)

Data for crystalline Li3Tl2Sb4 at its relaxed geometry.

a b c (Å): 9.4530 7.2739 7.4034
angles (deg): 90.00 109.56 90.00
Element x y z (fractional)
Li 0.0000 0.0000 0.0000
Li 0.0000 0.5000 0.5000
Li 0.2437 0.1611 0.7573
Li 0.2437 0.3389 0.2573
Li 0.7563 0.6611 0.7427
Li 0.7563 0.8389 0.2427
Tl 0.2855 0.6562 0.9155
Tl 0.2855 0.8438 0.4155
Tl 0.7145 0.1562 0.5845
Tl 0.7145 0.3438 0.0845
Sb 0.0058 0.1392 0.3644
Sb 0.0058 0.3608 0.8644
Sb 0.4712 0.0528 0.1719
Sb 0.4712 0.4472 0.6719
Sb 0.5288 0.5528 0.3281
Sb 0.5288 0.9472 0.8281
Sb 0.9942 0.6392 0.1356
Sb 0.9942 0.8608 0.6356

## Properties
Space-group type   No. 14
Total energy   -3.182 eV per atom

=====

In eV/atom, the uncorrected formation energy values for the records above are, in order, -0.105; -0.186.